DFT (GGA-PBE) results for crystalline TaGe2Pd at its relaxed geometry.

Values from the calculation:
- density of states at the Fermi level (states/eV/cell) = 13.03
- ΔH_f (0 K) (eV/atom) = -0.021
- total moment (μB per formula unit) = 0.00
- calculated total energy (eV per atom) = -6.5913

Unit cell a=6.385 b=6.385 c=6.385 alpha=90.00 beta=90.00 gamma=90.00
Space group Fm-3m (No. 225)
Inequivalent atoms, fractional coordinates:
1 Ta 0.000 0.000 0.000 [4 per cell]
2 Ge 0.250 0.250 0.250 [8 per cell]
3 Pd 0.000 0.000 0.500 [4 per cell]